Computed, not measured: an optimized crystal structure of LiRh2Br at the PBE level of DFT.

a = 4.226 Å, b = 4.226 Å, c = 3.290 Å
α = 90.00°, β = 90.00°, γ = 90.00°
Fractional coordinates of all 4 atoms:
Li1 0.000 0.000 0.000
Rh1 0.000 0.500 0.500
Rh2 0.500 0.000 0.500
Br1 0.500 0.500 0.000

Summary:
Fermi-level density of states (states/eV per atom): 0.518
Uncorrected energy (eV/atom): -4.331
SG: P4/mmm, No. 123
Formation energy without anion corrections (eV/atom): 0.241
Total magnetization (μB per atom): 0.000
Excess energy over the best structure of this formula in the dataset (meV/atom): 256